DFT (PBE-GGA) results for an optimized crystal structure of LiAcNiGe2.

The value obtained for the density of states at the Fermi level is 3.469 states/eV per cell. For the total DFT energy (no corrections), the calculation gives -23.93 eV/cell. The value obtained for the density is 7.5 g/cm3. The volume comes out at 97.1 Å³ per cell. As for the space group: I-4m2, No. 119.

a b c (Å): 4.3694 4.3694 5.9510
angles (deg): 111.54 111.54 90.00
Closest atoms and distances in Å follow each position.
Fractional positions:
Li1 0.7500 0.2500 0.5000  4 Ge 2.51
Ac1 0.0000 0.0000 0.0000  4 Li 3.35, 4 Ni 3.35, 8 Ge 3.36
Ni1 0.2500 0.7500 0.5000  4 Ge 2.51
Ge1 0.6294 0.6294 0.2588  2 Ni 2.51, 2 Li 2.51, 1 Ge 2.63
Ge2 0.3706 0.3706 0.7412  2 Li 2.51, 2 Ni 2.51, 1 Ge 2.63